{
  "formula": "TlTcMo2O8",
  "functional": "PBE with a Hubbard U",
  "state": "relaxed",
  "vol_a3_per_cell": 226,
  "e_tot_ev_per_cell": -83.560,
  "lattice_angstrom": [[5.657, -0.008, -0.054], [2.602, 5.023, -0.054], [0.312, 0.190, 7.940]],
  "species": ["O", "O", "O", "O", "O", "O", "O", "O", "Mo", "Mo", "Tl", "Tc"],
  "frac_coords": [[0.193, 0.712, 0.830], [0.196, 0.196, 0.912], [0.712, 0.193, 0.830], [0.804, 0.804, 0.088], [0.807, 0.288, 0.170], [0.288, 0.807, 0.170], [0.317, 0.317, 0.570], [0.683, 0.683, 0.430], [0.354, 0.354, 0.784], [0.646, 0.646, 0.216], [0.000, 0.000, 0.500], [0.000, 0.000, 0.000]]
}